## CsNiSbW2 (GGA-PBE)

Data for a geometry-optimized CsNiSbW2 structure.

magnetic moment: 0.0 μB/f.u.
calculated density: 8.75 g/cm³
electronic total energy: -5.14 eV per atom

```
data_CsNiSbW2
_cell_length_a 5.163
_cell_length_b 4.851
_cell_length_c 5.163
_cell_angle_alpha 90.00
_cell_angle_beta 90.00
_cell_angle_gamma 90.00
_space_group_name_H-M_alt 'P 1'
_space_group_IT_number 1
loop_
_space_group_symop_operation_xyz
'x,y,z'
loop_
_atom_site_label
_atom_site_type_symbol
_atom_site_fract_x
_atom_site_fract_y
_atom_site_fract_z
_atom_site_occupancy
Sb1 Sb 0.000 0.000 0.000 1
Ni1 Ni 0.000 0.500 0.000 1
W1 W 0.500 0.000 0.000 1
Cs1 Cs 0.500 0.500 0.500 1
W2 W 0.000 0.000 0.500 1
```

***

## LaZn2Re (GGA-PBE)

Data for a geometry-optimized LaZn2Re structure.

magnetic moment: 0.0 μB/f.u.
calculated density: 9.67 g/cm³
formation energy: 229 meV/atom
electronic total energy: -4.75 eV per atom
energy above the lowest structure with this stoichiometry: 19 meV/atom

```
data_LaZn2Re
_cell_length_a 5.344
_cell_length_b 5.344
_cell_length_c 5.344
_cell_angle_alpha 138.81
_cell_angle_beta 127.55
_cell_angle_gamma 68.78
_space_group_name_H-M_alt 'P 1'
_space_group_IT_number 1
loop_
_space_group_symop_operation_xyz
'x,y,z'
loop_
_atom_site_label
_atom_site_type_symbol
_atom_site_fract_x
_atom_site_fract_y
_atom_site_fract_z
_atom_site_occupancy
Zn1 Zn 0.972 0.972 0.000 1
La1 La 0.250 0.750 0.500 1
Zn2 Zn 0.528 0.528 0.000 1
Re1 Re 0.750 0.250 0.500 1
```

***

## MnBeTcPt (GGA-PBE)

Data for a geometry-optimized MnBeTcPt structure.

magnetic moment: 2.0 μB/f.u.
calculated density: 11.71 g/cm³
formation energy: -292 meV/atom
electronic total energy: -7.62 eV per atom

```
data_MnBeTcPt
_cell_length_a 4.153
_cell_length_b 4.153
_cell_length_c 4.153
_cell_angle_alpha 60.00
_cell_angle_beta 60.00
_cell_angle_gamma 60.00
_space_group_name_H-M_alt 'P 1'
_space_group_IT_number 1
loop_
_space_group_symop_operation_xyz
'x,y,z'
loop_
_atom_site_label
_atom_site_type_symbol
_atom_site_fract_x
_atom_site_fract_y
_atom_site_fract_z
_atom_site_occupancy
Tc1 Tc 0.750 0.750 0.750 1
Mn1 Mn 0.000 0.000 0.000 1
Pt1 Pt 0.250 0.250 0.250 1
Be1 Be 0.500 0.500 0.500 1
```

***

## Hf8Si2P (GGA-PBE)

Data for a geometry-optimized Hf8Si2P structure.

magnetic moment: 0.0 μB/f.u.
calculated density: 11.41 g/cm³
electronic total energy: -9.25 eV per atom

```
data_Hf8Si2P
_cell_length_a 3.727
_cell_length_b 7.462
_cell_length_c 8.173
_cell_angle_alpha 95.03
_cell_angle_beta 103.18
_cell_angle_gamma 90.00
_space_group_name_H-M_alt 'P 1'
_space_group_IT_number 1
loop_
_space_group_symop_operation_xyz
'x,y,z'
loop_
_atom_site_label
_atom_site_type_symbol
_atom_site_fract_x
_atom_site_fract_y
_atom_site_fract_z
_atom_site_occupancy
Hf1 Hf 0.006 0.234 0.012 1
Hf2 Hf 0.337 0.986 0.673 1
Hf3 Hf 0.209 0.351 0.418 1
Hf4 Hf 0.791 0.649 0.582 1
Hf5 Hf 0.594 0.524 0.187 1
Si1 Si 0.822 0.251 0.643 1
Hf6 Hf 0.994 0.766 0.988 1
Hf7 Hf 0.663 0.014 0.327 1
Hf8 Hf 0.406 0.476 0.813 1
Si2 Si 0.178 0.749 0.357 1
P1 P 0.500 0.000 0.000 1
```

***

## Ac6Pr5Sc (GGA-PBE)

Data for a geometry-optimized Ac6Pr5Sc structure.

magnetic moment: 0.0 μB/f.u.
calculated density: 7.45 g/cm³
formation energy: 43 meV/atom
electronic total energy: -4.53 eV per atom

```
data_Ac6Pr5Sc
_cell_length_a 5.486
_cell_length_b 10.467
_cell_length_c 10.105
_cell_angle_alpha 121.19
_cell_angle_beta 105.74
_cell_angle_gamma 90.00
_space_group_name_H-M_alt 'P 1'
_space_group_IT_number 1
loop_
_space_group_symop_operation_xyz
'x,y,z'
loop_
_atom_site_label
_atom_site_type_symbol
_atom_site_fract_x
_atom_site_fract_y
_atom_site_fract_z
_atom_site_occupancy
Ac1 Ac 0.500 0.759 0.000 1
Ac2 Ac 0.164 0.919 0.328 1
Ac3 Ac 0.500 0.241 0.000 1
Pr1 Pr 0.664 0.664 0.329 1
Ac4 Ac 0.836 0.081 0.672 1
Pr2 Pr 0.000 0.500 0.000 1
Pr3 Pr 0.336 0.336 0.671 1
Pr4 Pr 0.668 0.168 0.336 1
Pr5 Pr 0.332 0.832 0.664 1
Ac5 Ac 0.164 0.409 0.328 1
Ac6 Ac 0.836 0.591 0.672 1
Sc1 Sc 0.000 0.000 0.000 1
```

***

## Sm2Ho6Er3Zr (GGA-PBE)

Data for a geometry-optimized Sm2Ho6Er3Zr structure.

magnetic moment: 0.0 μB/f.u.
calculated density: 8.58 g/cm³
formation energy: 49 meV/atom
electronic total energy: -4.88 eV per atom

```
data_Sm2Ho6Er3Zr
_cell_length_a 6.067
_cell_length_b 6.067
_cell_length_c 11.608
_cell_angle_alpha 94.97
_cell_angle_beta 94.97
_cell_angle_gamma 119.92
_space_group_name_H-M_alt 'P 1'
_space_group_IT_number 1
loop_
_space_group_symop_operation_xyz
'x,y,z'
loop_
_atom_site_label
_atom_site_type_symbol
_atom_site_fract_x
_atom_site_fract_y
_atom_site_fract_z
_atom_site_occupancy
Er1 Er 0.500 0.500 0.500 1
Ho1 Ho 0.409 0.083 0.248 1
Zr1 Zr 0.000 0.000 0.000 1
Ho2 Ho 0.756 0.756 0.247 1
Ho3 Ho 0.591 0.917 0.752 1
Ho4 Ho 0.083 0.409 0.248 1
Sm1 Sm 0.667 0.333 0.000 1
Ho5 Ho 0.917 0.591 0.752 1
Ho6 Ho 0.244 0.244 0.753 1
Sm2 Sm 0.333 0.667 0.000 1
Er2 Er 0.166 0.834 0.500 1
Er3 Er 0.834 0.166 0.500 1
```

***

## LaHg2Os (GGA-PBE)

Data for a geometry-optimized LaHg2Os structure.

magnetic moment: 0.0 μB/f.u.
calculated density: 13.68 g/cm³
formation energy: 327 meV/atom
electronic total energy: -3.86 eV per atom

```
data_LaHg2Os
_cell_length_a 3.317
_cell_length_b 4.547
_cell_length_c 5.876
_cell_angle_alpha 90.00
_cell_angle_beta 90.00
_cell_angle_gamma 90.00
_space_group_name_H-M_alt 'P 1'
_space_group_IT_number 1
loop_
_space_group_symop_operation_xyz
'x,y,z'
loop_
_atom_site_label
_atom_site_type_symbol
_atom_site_fract_x
_atom_site_fract_y
_atom_site_fract_z
_atom_site_occupancy
Hg1 Hg 0.000 0.000 0.520 1
Hg2 Hg 0.000 0.000 0.980 1
La1 La 0.500 0.500 0.250 1
Os1 Os 0.500 0.500 0.750 1
```

***

## Sm4HgRh (GGA-PBE)

Data for a geometry-optimized Sm4HgRh structure.

magnetic moment: 0.0 μB/f.u.
calculated density: 8.00 g/cm³
formation energy: -321 meV/atom
electronic total energy: -4.74 eV per atom
energy above the lowest structure with this stoichiometry: 177 meV/atom

```
data_Sm4HgRh
_cell_length_a 7.058
_cell_length_b 7.162
_cell_length_c 7.440
_cell_angle_alpha 90.00
_cell_angle_beta 92.93
_cell_angle_gamma 90.00
_space_group_name_H-M_alt 'P 1'
_space_group_IT_number 1
loop_
_space_group_symop_operation_xyz
'x,y,z'
loop_
_atom_site_label
_atom_site_type_symbol
_atom_site_fract_x
_atom_site_fract_y
_atom_site_fract_z
_atom_site_occupancy
Sm1 Sm 0.128 0.353 0.818 1
Sm2 Sm 0.676 0.657 0.644 1
Sm3 Sm 0.824 0.157 0.356 1
Sm4 Sm 0.324 0.343 0.356 1
Hg1 Hg 0.000 0.000 0.000 1
Sm5 Sm 0.872 0.647 0.182 1
Sm6 Sm 0.372 0.853 0.182 1
Hg2 Hg 0.500 0.500 0.000 1
Rh1 Rh 0.000 0.500 0.500 1
Rh2 Rh 0.500 0.000 0.500 1
Sm7 Sm 0.628 0.147 0.818 1
Sm8 Sm 0.176 0.843 0.644 1
```

***

## AlWSe (GGA-PBE)

Data for a geometry-optimized AlWSe structure.

magnetic moment: 0.0 μB/f.u.
calculated density: 9.34 g/cm³
electronic total energy: -6.72 eV per atom
energy above the lowest structure with this stoichiometry: 0 meV/atom

```
data_AlWSe
_cell_length_a 3.153
_cell_length_b 3.153
_cell_length_c 5.982
_cell_angle_alpha 90.00
_cell_angle_beta 90.00
_cell_angle_gamma 120.00
_space_group_name_H-M_alt 'P 1'
_space_group_IT_number 1
loop_
_space_group_symop_operation_xyz
'x,y,z'
loop_
_atom_site_label
_atom_site_type_symbol
_atom_site_fract_x
_atom_site_fract_y
_atom_site_fract_z
_atom_site_occupancy
Se1 Se 0.667 0.333 0.358 1
W1 W 0.333 0.667 0.655 1
Al1 Al 0.000 0.000 0.987 1
```

***

## Li2PdRu (GGA-PBE)

Data for a geometry-optimized Li2PdRu structure.

magnetic moment: 1.4 μB/f.u.
calculated density: 6.49 g/cm³
formation energy: 409 meV/atom
electronic total energy: -4.16 eV per atom
energy above the lowest structure with this stoichiometry: 394 meV/atom

```
data_Li2PdRu
_cell_length_a 6.614
_cell_length_b 6.614
_cell_length_c 5.345
_cell_angle_alpha 51.78
_cell_angle_beta 51.78
_cell_angle_gamma 90.00
_space_group_name_H-M_alt 'P 1'
_space_group_IT_number 1
loop_
_space_group_symop_operation_xyz
'x,y,z'
loop_
_atom_site_label
_atom_site_type_symbol
_atom_site_fract_x
_atom_site_fract_y
_atom_site_fract_z
_atom_site_occupancy
Li1 Li 0.375 0.369 0.750 1
Li2 Li 0.875 0.881 0.750 1
Pd1 Pd 0.000 0.000 0.000 1
Pd2 Pd 0.750 0.250 0.500 1
Ru1 Ru 0.500 0.500 0.000 1
Li3 Li 0.119 0.625 0.250 1
Li4 Li 0.631 0.125 0.250 1
Ru2 Ru 0.250 0.750 0.500 1
```

***

## Np2Ta2Se2N5 (GGA-PBE)

Data for a geometry-optimized Np2Ta2Se2N5 structure.

magnetic moment: 5.0 μB/f.u.
calculated density: 9.55 g/cm³
electronic total energy: -10.06 eV per atom

```
data_Np2Ta2Se2N5
_cell_length_a 3.914
_cell_length_b 3.914
_cell_length_c 12.387
_cell_angle_alpha 99.09
_cell_angle_beta 99.09
_cell_angle_gamma 90.00
_space_group_name_H-M_alt 'P 1'
_space_group_IT_number 1
loop_
_space_group_symop_operation_xyz
'x,y,z'
loop_
_atom_site_label
_atom_site_type_symbol
_atom_site_fract_x
_atom_site_fract_y
_atom_site_fract_z
_atom_site_occupancy
N1 N 0.000 0.000 0.000 1
Ta1 Ta 0.078 0.078 0.156 1
N2 N 0.607 0.107 0.213 1
Np1 Np 0.655 0.655 0.311 1
Se1 Se 0.787 0.787 0.574 1
N3 N 0.107 0.607 0.213 1
N4 N 0.893 0.393 0.787 1
N5 N 0.393 0.893 0.787 1
Np2 Np 0.345 0.345 0.689 1
Se2 Se 0.213 0.213 0.426 1
Ta2 Ta 0.922 0.922 0.844 1
```

***

## CeGaSiRh3 (GGA-PBE)

Data for a geometry-optimized CeGaSiRh3 structure.

magnetic moment: 0.5 μB/f.u.
calculated density: 7.64 g/cm³
electronic total energy: -6.72 eV per atom

```
data_CeGaSiRh3
_cell_length_a 5.697
_cell_length_b 5.635
_cell_length_c 7.917
_cell_angle_alpha 110.85
_cell_angle_beta 90.00
_cell_angle_gamma 90.00
_space_group_name_H-M_alt 'P 1'
_space_group_IT_number 1
loop_
_space_group_symop_operation_xyz
'x,y,z'
loop_
_atom_site_label
_atom_site_type_symbol
_atom_site_fract_x
_atom_site_fract_y
_atom_site_fract_z
_atom_site_occupancy
Ga1 Ga 0.250 0.401 0.801 1
Ga2 Ga 0.750 0.599 0.199 1
Ce1 Ce 0.750 0.278 0.557 1
Rh1 Rh 0.250 0.235 0.471 1
Rh2 Rh 0.000 0.253 0.000 1
Rh3 Rh 0.500 0.747 0.000 1
Si1 Si 0.250 0.078 0.155 1
Rh4 Rh 0.000 0.747 0.000 1
Si2 Si 0.750 0.922 0.845 1
Rh5 Rh 0.500 0.253 0.000 1
Rh6 Rh 0.750 0.765 0.529 1
Ce2 Ce 0.250 0.722 0.443 1
```